MnZnP2 PBE-GGA optimized geometry; final energy = -5.367 eV/atom; N(E_F) = 0.654 states/eV per atom; ΔH_f (0 K) = -0.052 eV/atom; mass density = 5.41 Mg/m³
1.0
6.395 0.002 -0.007
4.904 4.105 0.007
-5.809 -1.615 2.133
Mn P Zn
1 2 1
direct
0.286 0.786 0.500
0.936 0.936 0.000
0.719 0.219 0.500
0.560 0.560 0.000

=====

Mn2ZnP PBE-GGA optimized geometry; final energy = -6.382 eV/atom; N(E_F) = 0.834 states/eV per atom; ΔH_f (0 K) = -0.127 eV/atom; energy above the most stable polymorph in this dataset = 0 meV/atom; mass density = 7.23 Mg/m³
1.0
-1.921 -1.831 -0.848
1.957 -1.977 -0.166
-1.078 -1.554 5.800
Mn P Zn
2 1 1
direct
0.000 0.000 0.041
0.000 0.000 0.459
0.500 0.500 0.250
0.500 0.500 0.750

=====

Mn2ZnP PBE-GGA optimized geometry; final energy = -5.920 eV/atom; N(E_F) = 1.344 states/eV per atom; ΔH_f (0 K) = 0.336 eV/atom; energy above the most stable polymorph in this dataset = 463 meV/atom; mass density = 6.30 Mg/m³
1.0
-1.431 1.214 -3.080
-1.641 -3.175 -0.489
-8.203 1.818 2.416
P Zn Mn
2 2 4
direct
0.500 0.500 0.000
0.250 0.750 0.500
0.000 0.000 0.000
0.750 0.250 0.500
0.531 0.125 0.250
0.219 0.625 0.250
0.375 0.469 0.750
0.875 0.781 0.750

=====

Mn2ZnP PBE-GGA optimized geometry; final energy = -6.277 eV/atom; N(E_F) = 0.741 states/eV per atom; ΔH_f (0 K) = -0.021 eV/atom; energy above the most stable polymorph in this dataset = 106 meV/atom; mass density = 7.17 Mg/m³
1.0
7.890 0.006 0.004
7.436 2.637 0.004
7.436 1.282 2.304
Mn P Zn
2 1 1
direct
0.991 0.991 0.991
0.509 0.509 0.509
0.250 0.250 0.250
0.750 0.750 0.750

=====

Zr3MnP PBE-GGA optimized geometry; final energy = -7.747 eV/atom; N(E_F) = 1.363 states/eV per atom; ΔH_f (0 K) = 0.297 eV/atom; energy above the most stable polymorph in this dataset = 38 meV/atom; mass density = 5.61 Mg/m³
1.0
4.740 0.000 0.000
0.000 4.740 0.000
0.000 0.000 4.740
P Mn Zr
1 1 3
direct
0.500 0.500 0.500
0.000 0.000 0.000
0.000 0.500 0.000
0.000 0.000 0.500
0.500 0.000 0.000

=====

ZrMnP PBE-GGA optimized geometry; final energy = -8.189 eV/atom; N(E_F) = 1.092 states/eV per atom; ΔH_f (0 K) = -0.480 eV/atom; mass density = 6.73 Mg/m³
1.0
-3.131 -1.395 4.136
-0.981 2.152 4.823
0.476 0.739 -5.299
Zr Mn P
1 1 1
direct
0.336 0.336 0.000
0.032 0.032 0.000
0.632 0.632 0.000

=====

ZrMnP2 PBE-GGA optimized geometry; final energy = -7.690 eV/atom; N(E_F) = 0.854 states/eV per atom; ΔH_f (0 K) = -0.555 eV/atom; energy above the most stable polymorph in this dataset = 185 meV/atom; mass density = 5.64 Mg/m³
1.0
4.479 -0.002 -0.057
0.003 4.479 0.057
-1.603 -2.877 3.036
Mn P Zr
1 2 1
direct
0.250 0.750 0.500
0.051 0.051 0.000
0.449 0.449 0.000
0.750 0.250 0.500

=====

ZrMnP2 PBE-GGA optimized geometry; final energy = -7.153 eV/atom; N(E_F) = 0.584 states/eV per atom; ΔH_f (0 K) = -0.019 eV/atom; energy above the most stable polymorph in this dataset = 721 meV/atom; mass density = 5.80 Mg/m³
1.0
4.383 0.000 0.000
2.191 3.796 0.000
2.191 1.265 3.579
Mn P Zr
1 2 1
direct
0.500 0.500 0.500
0.000 0.000 0.000
0.250 0.250 0.250
0.750 0.750 0.750

=====

ZrMnP2 PBE-GGA optimized geometry; final energy = -7.594 eV/atom; N(E_F) = 0.568 states/eV per atom; ΔH_f (0 K) = -0.460 eV/atom; energy above the most stable polymorph in this dataset = 280 meV/atom; mass density = 6.13 Mg/m³
1.0
2.988 0.012 0.000
-0.556 2.936 0.000
0.000 0.000 6.417
Mn P Zr
1 2 1
direct
0.500 0.500 0.750
0.000 0.000 0.959
0.000 0.000 0.541
0.500 0.500 0.250

=====

ZrMnP2 PBE-GGA optimized geometry; final energy = -7.635 eV/atom; N(E_F) = 0.676 states/eV per atom; ΔH_f (0 K) = -0.500 eV/atom; energy above the most stable polymorph in this dataset = 240 meV/atom; mass density = 5.61 Mg/m³
1.0
4.346 0.000 0.000
0.000 4.346 0.000
0.000 0.000 3.259
Zr Mn P
1 1 2
direct
0.500 0.500 0.500
0.000 0.000 0.500
0.500 0.000 0.000
0.000 0.500 0.000

=====

ZrMn4P2 PBE-GGA optimized geometry; final energy = -8.733 eV/atom; N(E_F) = 0.928 states/eV per atom; ΔH_f (0 K) = -0.727 eV/atom; mass density = 7.17 Mg/m³
1.0
3.660 0.000 0.000
0.000 6.869 0.000
0.000 0.000 6.869
Zr Mn P
2 8 4
direct
0.500 0.000 0.000
0.000 0.500 0.500
0.000 0.084 0.345
0.000 0.916 0.655
0.500 0.155 0.584
0.500 0.845 0.416
0.500 0.416 0.845
0.500 0.584 0.155
0.000 0.345 0.084
0.000 0.655 0.916
0.000 0.216 0.784
0.000 0.784 0.216
0.500 0.716 0.716
0.500 0.284 0.284

=====

ZrMnP PBE-GGA optimized geometry; final energy = -8.741 eV/atom; N(E_F) = 0.370 states/eV per atom; ΔH_f (0 K) = -1.032 eV/atom; mass density = 6.66 Mg/m³
1.0
3.638 0.000 0.000
0.000 6.455 0.000
0.000 0.000 7.525
Mn P Zr
4 4 4
direct
0.250 0.865 0.440
0.750 0.635 0.940
0.750 0.135 0.560
0.250 0.365 0.060
0.250 0.231 0.374
0.750 0.269 0.874
0.750 0.769 0.626
0.250 0.731 0.126
0.250 0.970 0.824
0.750 0.530 0.324
0.750 0.030 0.176
0.250 0.470 0.676

=====

ZrMnP2 PBE-GGA optimized geometry; final energy = -7.567 eV/atom; N(E_F) = 0.758 states/eV per atom; ΔH_f (0 K) = -0.432 eV/atom; energy above the most stable polymorph in this dataset = 308 meV/atom; mass density = 6.24 Mg/m³
1.0
2.940 0.000 0.000
0.000 2.940 0.000
0.000 0.000 6.414
Mn P Zr
1 2 1
direct
0.500 0.500 0.750
0.000 0.000 0.954
0.000 0.000 0.546
0.500 0.500 0.250

=====

ZrMnP PBE-GGA optimized geometry; final energy = -7.505 eV/atom; N(E_F) = 1.247 states/eV per atom; ΔH_f (0 K) = 0.204 eV/atom; mass density = 5.00 Mg/m³
1.0
0.000 3.088 3.088
3.088 0.000 3.088
3.088 3.088 0.000
Zr Mn P
1 1 1
direct
0.250 0.250 0.250
0.000 0.000 0.000
0.500 0.500 0.500

=====

ZrMn2P2 PBE-GGA optimized geometry; final energy = -8.027 eV/atom; N(E_F) = 0.540 states/eV per atom; ΔH_f (0 K) = -0.486 eV/atom; mass density = 6.02 Mg/m³
1.0
6.884 0.000 0.000
0.000 6.884 0.000
0.000 0.000 3.062
P Mn Zr
4 4 2
direct
0.355 0.855 0.000
0.855 0.645 0.000
0.645 0.145 0.000
0.145 0.355 0.000
0.138 0.638 0.500
0.638 0.862 0.500
0.862 0.362 0.500
0.362 0.138 0.500
0.000 0.000 0.000
0.500 0.500 0.000

=====

ZrMnP4 PBE-GGA optimized geometry; final energy = -6.321 eV/atom; N(E_F) = 0.682 states/eV per atom; ΔH_f (0 K) = 0.238 eV/atom; mass density = 4.90 Mg/m³
1.0
-1.272 -1.674 4.602
-4.567 -2.033 0.780
-0.446 -4.967 0.851
Zr Mn P
1 1 4
direct
0.750 0.750 0.750
0.000 0.000 0.000
0.374 0.878 0.374
0.878 0.374 0.374
0.374 0.374 0.878
0.374 0.374 0.374

=====

ZrMnP2 PBE-GGA optimized geometry; final energy = -7.826 eV/atom; N(E_F) = 0.444 states/eV per atom; ΔH_f (0 K) = -0.692 eV/atom; energy above the most stable polymorph in this dataset = 48 meV/atom; mass density = 4.97 Mg/m³
1.0
-2.715 2.315 0.768
0.139 -1.002 3.508
3.483 3.773 0.940
Mn P Zr
1 2 1
direct
0.500 0.500 0.840
0.000 0.000 0.899
0.500 0.500 0.346
0.000 0.000 0.414

=====

ZrMnP2 PBE-GGA optimized geometry; final energy = -7.561 eV/atom; N(E_F) = 0.751 states/eV per atom; ΔH_f (0 K) = -0.427 eV/atom; energy above the most stable polymorph in this dataset = 313 meV/atom; mass density = 5.68 Mg/m³
1.0
0.000 3.122 3.122
3.122 0.000 3.122
3.122 3.122 0.000
P Mn Zr
2 1 1
direct
0.250 0.250 0.250
0.750 0.750 0.750
0.000 0.000 0.000
0.500 0.500 0.500

=====

ZrMnP PBE-GGA optimized geometry; final energy = -8.720 eV/atom; N(E_F) = 0.492 states/eV per atom; ΔH_f (0 K) = -1.011 eV/atom; mass density = 6.65 Mg/m³
1.0
-1.256 0.715 -3.342
5.783 -1.570 -2.509
-3.353 -10.658 -1.020
Zr Mn P
6 6 6
direct
0.750 0.529 0.380
0.250 0.971 0.713
0.750 0.029 0.287
0.750 0.649 0.083
0.250 0.471 0.620
0.250 0.351 0.917
0.250 0.996 0.085
0.250 0.863 0.460
0.750 0.643 0.797
0.750 0.137 0.540
0.250 0.357 0.203
0.750 0.004 0.915
0.250 0.767 0.919
0.750 0.267 0.750
0.750 0.769 0.583
0.750 0.233 0.081
0.250 0.231 0.417
0.250 0.733 0.250

=====

Zr3Mn6P5 PBE-GGA optimized geometry; final energy = -8.521 eV/atom; N(E_F) = 0.792 states/eV per atom; ΔH_f (0 K) = -0.828 eV/atom; mass density = 6.55 Mg/m³
1.0
-2.768 1.869 -1.335
2.961 -1.810 -8.675
-6.341 -9.517 -0.179
Zr Mn P
6 12 10
direct
0.000 0.248 0.656
0.500 0.752 0.156
0.500 0.752 0.844
0.000 0.271 0.000
0.500 0.729 0.500
0.000 0.248 0.344
0.000 0.008 0.830
0.500 0.992 0.670
0.500 0.413 0.809
0.500 0.514 0.000
0.000 0.486 0.500
0.000 0.587 0.691
0.000 0.587 0.309
0.500 0.023 0.000
0.000 0.008 0.170
0.500 0.413 0.191
0.000 0.977 0.500
0.500 0.992 0.330
0.000 0.540 0.884
0.000 0.834 0.672
0.000 0.869 0.000
0.500 0.460 0.616
0.500 0.131 0.500
0.000 0.540 0.116
0.500 0.460 0.384
0.000 0.834 0.328
0.500 0.166 0.828
0.500 0.166 0.172